1.
GGA-PBE HgBr2Cl, relaxed; uncorrected formation energy = 216 meV/atom; relative energy among the computed polymorphs = 0.502 eV per atom; SG = P4/mmm (123); magnetic moment = 1.1 μB per formula unit
1.0
3.6716 0.0000 0.0000
0.0000 3.6716 0.0000
0.0000 0.0000 7.8505
Hg Br Cl
1 2 1
direct
0.0000 0.0000 0.0000 Hg
0.5000 0.5000 0.2108 Br
0.5000 0.5000 0.7892 Br
0.0000 0.0000 0.5000 Cl

2.
GGA-PBE HgBrCl, relaxed; uncorrected formation energy = -238 meV/atom; SG = F-43m (216); magnetic moment = 0.0 μB per formula unit
1.0
0.0000 3.4474 3.4474
3.4474 0.0000 3.4474
3.4474 3.4474 0.0000
Hg Br Cl
1 1 1
direct
0.0000 0.0000 0.0000 Hg
0.7500 0.7500 0.7500 Br
0.2500 0.2500 0.2500 Cl

Which of these has the lowest magnetic moment?
HgBrCl

Please write out number 1 again, unchanged.
GGA-PBE HgBr2Cl, relaxed; uncorrected formation energy = 216 meV/atom; relative energy among the computed polymorphs = 0.502 eV per atom; SG = P4/mmm (123); magnetic moment = 1.1 μB per formula unit
1.0
3.6716 0.0000 0.0000
0.0000 3.6716 0.0000
0.0000 0.0000 7.8505
Hg Br Cl
1 2 1
direct
0.0000 0.0000 0.0000 Hg
0.5000 0.5000 0.2108 Br
0.5000 0.5000 0.7892 Br
0.0000 0.0000 0.5000 Cl